[1]
Entry from Alexandria: a relaxed structure of NdPu2Au4 (PBE).

Properties
- crystal system = tetragonal
- density of states at the Fermi level (states/eV per cell) = 30.843
- magnetization (μB per formula unit) = 12.18
- ΔH_f (0 K) (eV per atom) = -0.41

```
data_NdPu2Au4
_cell_length_a 4.678
_cell_length_b 4.678
_cell_length_c 16.393
_cell_angle_alpha 90.00
_cell_angle_beta 90.00
_cell_angle_gamma 90.00
_symmetry_space_group_name_H-M 'I 4/m m m'
_symmetry_Int_Tables_number 139
_symmetry_space_group_name_Hall '-I 4 2'
loop_
_atom_site_label
_atom_site_type_symbol
_atom_site_fract_x
_atom_site_fract_y
_atom_site_fract_z
Nd1 Nd 0.000 0.000 0.000
Pu1 Pu 0.000 0.000 0.252
Au1 Au 0.000 0.500 0.123
```



[2]
Entry from Alexandria: a relaxed structure of Pm4Ho3ScS8 (PBE).

Properties
- crystal system = trigonal
- density of states at the Fermi level (states/eV per cell) = 24.266
- formation energy (no corrections) (eV/f.u.) = -31.73
- magnetization (μB per formula unit) = 0.00

```
data_Pm4Ho3ScS8
_cell_length_a 7.8105
_cell_length_b 7.8105
_cell_length_c 19.6292
_cell_angle_alpha 90.00
_cell_angle_beta 90.00
_cell_angle_gamma 120.00
_symmetry_space_group_name_H-M 'R -3 m'
_symmetry_Int_Tables_number 166
_symmetry_space_group_name_Hall '-R 3 2"'
loop_
_atom_site_label
_atom_site_type_symbol
_atom_site_fract_x
_atom_site_fract_y
_atom_site_fract_z
Pm1 Pm 0.0000 0.0000 0.0000
Pm2 Pm 0.0000 0.5000 0.0000
Ho1 Ho 0.0000 0.5000 0.5000
Sc1 Sc 0.0000 0.0000 0.5000
S1 S 0.0000 0.0000 0.2450
S2 S 0.0067 0.5033 0.2434
```



[3]
Entry from Alexandria: a relaxed structure of KSrZr2 (PBE).

Properties
- crystal system = trigonal
- polymorph energy (0 for the lowest one) (meV per atom) = 371
- density of states at the Fermi level (states/eV per cell) = 16.138
- magnetization (μB per formula unit) = 1.51
- ΔH_f (0 K) (eV per atom) = 0.78

```
data_KSrZr2
_cell_length_a 3.3537
_cell_length_b 3.3537
_cell_length_c 38.9047
_cell_angle_alpha 90.00
_cell_angle_beta 90.00
_cell_angle_gamma 120.00
_symmetry_space_group_name_H-M 'R -3 m'
_symmetry_Int_Tables_number 166
_symmetry_space_group_name_Hall '-R 3 2"'
loop_
_atom_site_label
_atom_site_type_symbol
_atom_site_fract_x
_atom_site_fract_y
_atom_site_fract_z
K1 K 0.0000 0.0000 0.0000
Sr1 Sr 0.0000 0.0000 0.5000
Zr1 Zr 0.0000 0.0000 0.2447
```



[4]
Entry from Alexandria: a relaxed structure of Hf2CS (PBE).

Properties
- crystal system = trigonal
- polymorph energy (0 for the lowest one) (meV per atom) = 21
- density of states at the Fermi level (states/eV per cell) = 0.778
- formation energy (no corrections) (eV/f.u.) = -5.28
- magnetization (μB per formula unit) = 0.00

```
data_Hf2CS
_cell_length_a 3.3627
_cell_length_b 3.3627
_cell_length_c 18.2870
_cell_angle_alpha 90.00
_cell_angle_beta 90.00
_cell_angle_gamma 120.00
_symmetry_space_group_name_H-M 'R 3 m'
_symmetry_Int_Tables_number 160
_symmetry_space_group_name_Hall 'R 3 -2"'
loop_
_atom_site_label
_atom_site_type_symbol
_atom_site_fract_x
_atom_site_fract_y
_atom_site_fract_z
Hf1 Hf 0.0000 0.0000 0.0000
Hf2 Hf 0.0000 0.0000 0.1990
C1 C 0.0000 0.0000 0.5958
S1 S 0.0000 0.0000 0.7660
```



[5]
Entry from Alexandria: a relaxed structure of Sm2Mg2Rh15 (PBE).

Properties
- crystal system = trigonal
- density of states at the Fermi level (states/eV per cell) = 85.017
- magnetization (μB per formula unit) = 0.00
- ΔH_f (0 K) (eV per atom) = -0.28

```
data_Sm2Mg2Rh15
_cell_length_a 9.0227
_cell_length_b 9.0227
_cell_length_c 13.3074
_cell_angle_alpha 90.00
_cell_angle_beta 90.00
_cell_angle_gamma 120.00
_symmetry_space_group_name_H-M 'R -3 m'
_symmetry_Int_Tables_number 166
_symmetry_space_group_name_Hall '-R 3 2"'
loop_
_atom_site_label
_atom_site_type_symbol
_atom_site_fract_x
_atom_site_fract_y
_atom_site_fract_z
Sm1 Sm 0.0000 0.0000 0.1504
Mg1 Mg 0.0000 0.0000 0.3962
Rh1 Rh 0.0000 0.3005 0.5000
Rh2 Rh 0.0000 0.5000 0.0000
Rh3 Rh 0.0013 0.5007 0.6506
```



[6]
Entry from Alexandria: a relaxed structure of ScCdS (PBE).

Properties
- crystal system = trigonal
- density of states at the Fermi level (states/eV per cell) = 6.611
- formation energy (no corrections) (eV/f.u.) = -2.72
- magnetization (μB per formula unit) = 0.00

```
data_ScCdS
_cell_length_a 4.2701
_cell_length_b 4.2701
_cell_length_c 27.2304
_cell_angle_alpha 90.00
_cell_angle_beta 90.00
_cell_angle_gamma 120.00
_symmetry_space_group_name_H-M 'R -3 m'
_symmetry_Int_Tables_number 166
_symmetry_space_group_name_Hall '-R 3 2"'
loop_
_atom_site_label
_atom_site_type_symbol
_atom_site_fract_x
_atom_site_fract_y
_atom_site_fract_z
Sc1 Sc 0.0000 0.0000 0.1095
Cd1 Cd 0.0000 0.0000 0.3624
S1 S 0.0000 0.0000 0.2070
```



[7]
Entry from Alexandria: a relaxed structure of InGeSe2F (PBE).

Properties
- crystal system = tetragonal
- density of states at the Fermi level (states/eV per cell) = 4.789
- formation energy (no corrections) (eV/f.u.) = -0.18
- magnetization (μB per formula unit) = 0.18

```
data_InGeSe2F
_cell_length_a 5.366
_cell_length_b 5.366
_cell_length_c 4.050
_cell_angle_alpha 90.00
_cell_angle_beta 90.00
_cell_angle_gamma 90.00
_symmetry_space_group_name_H-M 'P 4/m m m'
_symmetry_Int_Tables_number 123
_symmetry_space_group_name_Hall '-P 4 2'
loop_
_atom_site_label
_atom_site_type_symbol
_atom_site_fract_x
_atom_site_fract_y
_atom_site_fract_z
In1 In 0.000 0.000 0.000
Ge1 Ge 0.500 0.500 0.000
Se1 Se 0.000 0.500 0.500
F1 F 0.500 0.500 0.500
```



[8]
Entry from Alexandria: a relaxed structure of Rb5Tl3Cl12 (PBE).

Properties
- crystal system = cubic
- density of states at the Fermi level (states/eV per cell) = 102.685
- formation energy (no corrections) (eV/f.u.) = -25.20
- magnetization (μB per formula unit) = 1.34

```
data_Rb5Tl3Cl12
_cell_length_a 18.860
_cell_length_b 18.860
_cell_length_c 18.860
_cell_angle_alpha 90.00
_cell_angle_beta 90.00
_cell_angle_gamma 90.00
_symmetry_space_group_name_H-M 'I a -3 d'
_symmetry_Int_Tables_number 230
_symmetry_space_group_name_Hall '-I 4bd 2c 3'
loop_
_atom_site_label
_atom_site_type_symbol
_atom_site_fract_x
_atom_site_fract_y
_atom_site_fract_z
Rb1 Rb 0.000 0.000 0.000
Rb2 Rb 0.000 0.250 0.375
Tl1 Tl 0.000 0.250 0.125
Cl1 Cl 0.026 0.048 0.338
```



[9]
Entry from Alexandria: a relaxed structure of Ho6Cu5Os (PBE).

Properties
- crystal system = orthorhombic
- density of states at the Fermi level (states/eV per cell) = 18.077
- magnetization (μB per formula unit) = 0.00
- ΔH_f (0 K) (eV per atom) = -0.27

```
data_Ho6Cu5Os
_cell_length_a 4.875
_cell_length_b 6.895
_cell_length_c 14.595
_cell_angle_alpha 90.00
_cell_angle_beta 90.00
_cell_angle_gamma 90.00
_symmetry_space_group_name_H-M 'I m m m'
_symmetry_Int_Tables_number 71
_symmetry_space_group_name_Hall '-I 2 2'
loop_
_atom_site_label
_atom_site_type_symbol
_atom_site_fract_x
_atom_site_fract_y
_atom_site_fract_z
Ho1 Ho 0.000 0.243 0.000
Ho2 Ho 0.000 0.254 0.336
Cu1 Cu 0.000 0.000 0.167
Cu2 Cu 0.000 0.000 0.500
Cu3 Cu 0.000 0.500 0.165
Os1 Os 0.000 0.500 0.500
```



[10]
Entry from Alexandria: a relaxed structure of ReSe3 (PBE).

Properties
- crystal system = cubic
- polymorph energy (0 for the lowest one) (meV per atom) = 722
- density of states at the Fermi level (states/eV per cell) = 8.947
- formation energy (no corrections) (eV/f.u.) = 2.78
- magnetization (μB per formula unit) = 0.47

```
data_ReSe3
_cell_length_a 5.312
_cell_length_b 5.312
_cell_length_c 5.312
_cell_angle_alpha 90.00
_cell_angle_beta 90.00
_cell_angle_gamma 90.00
_symmetry_space_group_name_H-M 'I m -3 m'
_symmetry_Int_Tables_number 229
_symmetry_space_group_name_Hall '-I 4 2 3'
loop_
_atom_site_label
_atom_site_type_symbol
_atom_site_fract_x
_atom_site_fract_y
_atom_site_fract_z
Re1 Re 0.000 0.000 0.000
Se1 Se 0.000 0.000 0.500
```